## U2MnCo3Ge4 (PBE)

Data for a relaxed structure of U2MnCo3Ge4.

Calculated values
Its energy of formation from the pure elements is -0.31 eV per atom. The space-group type is P-4m2. The calculation puts the theoretical density at 10.62 g cm⁻³.

abc: 4.0587 4.0587 9.4787
angles: 90.00 90.00 90.00
Site moments in Bohr magnetons follow the coordinates.
Fractional positions:
U (0.5000, 0.0000, 0.2587)  -1.41
U (0.0000, 0.5000, 0.7413)  -1.41
Mn (0.5000, 0.5000, 0.5000)  1.31
Co (0.0000, 0.0000, 0.5000)  0.15
Co (0.5000, 0.0000, 0.8740)  0.15
Co (0.0000, 0.5000, 0.1260)  0.15
Ge (0.5000, 0.5000, 0.0000)  0.01
Ge (0.0000, 0.0000, 0.0000)  0.01
Ge (0.5000, 0.0000, 0.6338)  -0.01
Ge (0.0000, 0.5000, 0.3662)  -0.01



## U2MnCo4Ge3 (PBE)

Data for a relaxed structure of U2MnCo4Ge3.

Calculated values
Its energy of formation from the pure elements is -0.29 eV per atom. The space-group type is P-4m2. The calculation puts the theoretical density at 10.75 g cm⁻³.

abc: 3.8009 3.8009 10.5299
angles: 90.00 90.00 90.00
Site moments in Bohr magnetons follow the coordinates.
Fractional positions:
U (0.5000, 0.0000, 0.2576)  -1.38
U (0.0000, 0.5000, 0.7424)  -1.38
Mn (0.5000, 0.5000, 0.5000)  2.88
Co (0.5000, 0.5000, 0.0000)  0.16
Co (0.0000, 0.0000, 0.0000)  0.10
Co (0.5000, 0.0000, 0.6508)  0.64
Co (0.0000, 0.5000, 0.3492)  0.64
Ge (0.0000, 0.0000, 0.5000)  -0.03
Ge (0.5000, 0.0000, 0.8736)  0.01
Ge (0.0000, 0.5000, 0.1264)  0.01



## YMnCoGe3 (PBE)

Data for a relaxed structure of YMnCoGe3.

Calculated values
Its energy of formation from the pure elements is -0.18 eV per atom. The space-group type is Cmcm. The calculation puts the theoretical density at 6.32 g cm⁻³.

abc: 5.6143 7.3715 6.4871
angles: 124.62 90.00 90.00
Site moments in Bohr magnetons follow the coordinates.
Fractional positions:
Y (0.7500, 0.2537, 0.5075)  -0.03
Y (0.2500, 0.7463, 0.4925)  -0.03
Mn (0.2500, 0.0497, 0.0994)  1.04
Mn (0.7500, 0.9503, 0.9006)  1.04
Co (0.2500, 0.4651, 0.9302)  -0.27
Co (0.7500, 0.5349, 0.0698)  -0.27
Ge (0.2500, 0.2579, 0.5158)  -0.05
Ge (0.0000, 0.2502, 0.0000)  -0.03
Ge (0.5000, 0.7498, 0.0000)  -0.03
Ge (0.5000, 0.2502, 0.0000)  -0.03
Ge (0.0000, 0.7498, 0.0000)  -0.03
Ge (0.7500, 0.7421, 0.4842)  -0.05



## Co3GeMo (PBE)

Data for a relaxed structure of Co3GeMo.

Calculated values
Its energy of formation from the pure elements is 1.43 eV per atom. The space-group type is Pm-3m. The calculation puts the theoretical density at 6.58 g cm⁻³. As for the distance to the lowest polymorph of the same formula: 376 meV/atom.

abc: 4.4333 4.4333 4.4333
angles: 90.00 90.00 90.00
Site moments in Bohr magnetons follow the coordinates.
Fractional positions:
Mo (0.0000, 0.0000, 0.0000)  -0.09
Co (0.0000, 0.5000, 0.0000)  0.54
Co (0.0000, 0.0000, 0.5000)  0.54
Co (0.5000, 0.0000, 0.0000)  0.50
Ge (0.5000, 0.5000, 0.5000)  0.01



## Co3GeMo (PBE)

Data for a relaxed structure of Co3GeMo.

Calculated values
Its energy of formation from the pure elements is 1.05 eV per atom. The space-group type is Pm-3m. The calculation puts the theoretical density at 7.55 g cm⁻³. As for the distance to the lowest polymorph of the same formula: 0 meV/atom.

abc: 4.2354 4.2354 4.2354
angles: 90.00 90.00 90.00
Site moments in Bohr magnetons follow the coordinates.
Fractional positions:
Mo (0.5000, 0.5000, 0.5000)  1.52
Co (0.0000, 0.5000, 0.0000)  1.15
Co (0.0000, 0.0000, 0.5000)  1.23
Co (0.5000, 0.0000, 0.0000)  1.30
Ge (0.0000, 0.0000, 0.0000)  -0.09



## CoGe2Mo2 (PBE)

Data for a relaxed structure of CoGe2Mo2.

Calculated values
Its energy of formation from the pure elements is 0.05 eV per atom. The space-group type is P4/mbm. The calculation puts the theoretical density at 9.06 g cm⁻³.

abc: 6.0468 6.0468 3.9699
angles: 90.00 90.00 90.00
Fractional positions:
Mo (0.1696, 0.6696, 0.5000)
Mo (0.6696, 0.8304, 0.5000)
Mo (0.8304, 0.3304, 0.5000)
Mo (0.3304, 0.1696, 0.5000)
Co (0.0000, 0.0000, 0.0000)
Co (0.5000, 0.5000, 0.0000)
Ge (0.3562, 0.8562, 0.0000)
Ge (0.8562, 0.6438, 0.0000)
Ge (0.6438, 0.1438, 0.0000)
Ge (0.1438, 0.3562, 0.0000)



## CoGe4Mo2 (PBE)

Data for a relaxed structure of CoGe4Mo2.

Calculated values
Its energy of formation from the pure elements is 0.61 eV per atom. The space-group type is I4/mmm. The calculation puts the theoretical density at 6.90 g cm⁻³.

abc: 4.5749 4.5749 7.0123
angles: 70.96 70.96 90.00
Site moments in Bohr magnetons follow the coordinates.
Fractional positions:
Mo (0.3955, 0.3955, 0.2089)  0.79
Mo (0.6045, 0.6045, 0.7911)  0.79
Co (0.0000, 0.0000, 0.0000)  0.33
Ge (0.1889, 0.1889, 0.6222)  0.02
Ge (0.8111, 0.8111, 0.3778)  0.02
Ge (0.0000, 0.5000, 0.0000)  -0.02
Ge (0.5000, 0.0000, 0.0000)  -0.02



## CoGe2Mo (PBE)

Data for a relaxed structure of CoGe2Mo.

Calculated values
Its energy of formation from the pure elements is 0.35 eV per atom. The space-group type is I-42d. The calculation puts the theoretical density at 8.13 g cm⁻³.

abc: 6.5766 6.5766 5.4463
angles: 52.86 52.86 90.00
Fractional positions:
Mo (0.0000, 0.0000, 0.0000)
Mo (0.7500, 0.2500, 0.5000)
Co (0.5000, 0.5000, 0.0000)
Co (0.2500, 0.7500, 0.5000)
Ge (0.5886, 0.1250, 0.2500)
Ge (0.1614, 0.6250, 0.2500)
Ge (0.3750, 0.4114, 0.7500)
Ge (0.8750, 0.8386, 0.7500)



## CoGe2Mo (PBE)

Data for a relaxed structure of CoGe2Mo.

Calculated values
Its energy of formation from the pure elements is 0.33 eV per atom. The space-group type is R-3m. The calculation puts the theoretical density at 7.80 g cm⁻³.

abc: 2.8988 2.8988 8.9420
angles: 80.67 80.67 60.00
Site moments in Bohr magnetons follow the coordinates.
Fractional positions:
Mo (0.5000, 0.5000, 0.5000)  -0.09
Co (0.0000, 0.0000, 0.0000)  1.00
Ge (0.0869, 0.0869, 0.7393)  -0.02
Ge (0.9131, 0.9131, 0.2607)  -0.02



## CoGe2Mo (PBE)

Data for a relaxed structure of CoGe2Mo.

Calculated values
Its energy of formation from the pure elements is 0.08 eV per atom. The space-group type is Fm-3m. The calculation puts the theoretical density at 8.95 g cm⁻³.

abc: 4.2872 4.2872 4.2872
angles: 60.00 60.00 60.00
Fractional positions:
Mo (0.5000, 0.5000, 0.5000)
Co (0.0000, 0.0000, 0.0000)
Ge (0.2500, 0.2500, 0.2500)
Ge (0.7500, 0.7500, 0.7500)



## CoGeMo2N (PBE)

Data for a relaxed structure of CoGeMo2N.

Calculated values
For the uncorrected formation energy, the calculation gives -0.10 eV per atom. The space-group type is P4/mmm. The calculation puts the theoretical density at 8.78 g cm⁻³.

abc: 4.1498 4.1498 3.7067
angles: 90.00 90.00 90.00
Fractional positions:
Mo (0.0000, 0.5000, 0.0000)
Mo (0.5000, 0.0000, 0.0000)
Co (0.0000, 0.0000, 0.5000)
Ge (0.5000, 0.5000, 0.5000)
N (0.0000, 0.0000, 0.0000)



Question: Which of these has the highest theoretical density?
Answer: U2MnCo4Ge3



Question: The highest theoretical density belongs to which entry?
Answer: U2MnCo4Ge3